1.
The following is a DFT calculation (PBE) of a geometry-optimized La2MnOsC structure.

The space group is P4/mmm (No. 123) and the conventional cell measures 5.327, 5.327 and 3.921 Å, with angles of 90.00, 90.00 and 90.00 degrees. The inequivalent atoms are La at (0.000, 0.500, 0.000), Mn at (0.000, 0.000, 0.500), Os at (0.500, 0.500, 0.500) and C at (0.500, 0.500, 0.000).

The density comes out at 7.98 Mg/m³. Its calculated formation energy is 22.9 meV/atom. For the magnetization, the calculation gives 4.08 Bohr magnetons per cell. For the volume, the calculation gives 111.3 Å³/cell.

---

2.
The following is a DFT calculation (PBE) of a geometry-optimized AcSm2Y structure.

The space group is Pmmm (No. 47) and the conventional cell measures 3.742, 5.211 and 7.365 Å, with angles of 90.00, 90.00 and 90.00 degrees. The inequivalent atoms are Ac at (0.000, 0.000, 0.000), Sm at (0.500, 0.500, 0.260) and Y at (0.000, 0.000, 0.500).

The calculation puts the energy above the lowest structure with this stoichiometry at 0.0 kJ/mol of atoms. The density comes out at 7.13 Mg/m³. Its calculated formation energy is 34.7 meV/atom. For the magnetization, the calculation gives 0.00 Bohr magnetons per cell. For the volume, the calculation gives 143.6 Å³/cell.

---

3.
The following is a DFT calculation (PBE) of a geometry-optimized RbPPbCl2 structure.

The space group is P4/mmm (No. 123) and the conventional cell measures 5.725, 5.725 and 6.121 Å, with angles of 90.00, 90.00 and 90.00 degrees. The inequivalent atoms are Rb at (0.000, 0.000, 0.000), P at (0.500, 0.500, 0.000), Pb at (0.500, 0.500, 0.500) and Cl at (0.000, 0.500, 0.500).

The calculation puts the energy above the lowest structure with this stoichiometry at 0.0 kJ/mol of atoms. The formation energy from raw total energies comes out at -2.8 eV/f.u. The density comes out at 3.27 Mg/m³. For the magnetization, the calculation gives 1.67 Bohr magnetons per cell. For the volume, the calculation gives 200.6 Å³/cell.

---

4.
The following is a DFT calculation (PBE) of a geometry-optimized TmLuSc2 structure.

The space group is R-3m (No. 166, hexagonal axes) and the conventional cell measures 3.3809, 3.3809 and 32.7340 Å, with angles of 90.00, 90.00 and 120.00 degrees. The inequivalent atoms are Tm at (0.0000, 0.0000, 0.0000), Lu at (0.0000, 0.0000, 0.5000) and Sc at (0.0000, 0.0000, 0.2497).

The calculation puts the energy above the lowest structure with this stoichiometry at 0.5 kJ/mol of atoms. The density comes out at 6.67 Mg/m³. Its calculated formation energy is 56.8 meV/atom. For the magnetization, the calculation gives 0.00 Bohr magnetons per cell. For the volume, the calculation gives 324.0 Å³/cell.

---

5.
The following is a DFT calculation (PBE) of a geometry-optimized GeHSe2 structure.

The space group is I-42d (No. 122) and the conventional cell measures 5.503, 5.503 and 10.741 Å, with angles of 90.00, 90.00 and 90.00 degrees. The inequivalent atoms are Ge at (0.000, 0.000, 0.000), H at (0.000, 0.000, 0.500) and Se at (0.188, 0.250, 0.625).

The calculation puts the energy above the lowest structure with this stoichiometry at 38.0 kJ/mol of atoms. The density comes out at 4.73 Mg/m³. For the magnetization, the calculation gives 0.00 Bohr magnetons per cell. For the volume, the calculation gives 325.2 Å³/cell.

---

6.
The following is a DFT calculation (PBE) of a geometry-optimized CdTcAs2 structure.

The space group is Cmmm (No. 65) and the conventional cell measures 5.921, 7.114 and 3.352 Å, with angles of 90.00, 90.00 and 90.00 degrees. The inequivalent atoms are Cd at (0.000, 0.000, 0.000), Tc at (0.000, 0.500, 0.000) and As at (0.250, 0.250, 0.500).

The density comes out at 8.47 Mg/m³. Its calculated formation energy is 413.0 meV/atom. For the magnetization, the calculation gives 1.61 Bohr magnetons per cell. For the volume, the calculation gives 141.2 Å³/cell.

---

7.
The following is a DFT calculation (PBE) of a geometry-optimized Cs4AsAu2 structure.

The space group is I4/mmm (No. 139) and the conventional cell measures 7.024, 7.024 and 17.136 Å, with angles of 90.00, 90.00 and 90.00 degrees. The inequivalent atoms are Cs at (0.000, 0.000, 0.202), Cs at (0.000, 0.500, 0.000), As at (0.000, 0.000, 0.000) and Au at (0.000, 0.000, 0.412).

The density comes out at 3.93 Mg/m³. Its calculated formation energy is -134.4 meV/atom. For the magnetization, the calculation gives 2.06 Bohr magnetons per cell. For the volume, the calculation gives 845.5 Å³/cell.

---

8.
The following is a DFT calculation (PBE) of a geometry-optimized Dy2HoZrSc4 structure.

The space group is Pmmm (No. 47) and the conventional cell measures 4.770, 4.784 and 9.280 Å, with angles of 90.00, 90.00 and 90.00 degrees. The inequivalent atoms are Dy at (0.000, 0.000, 0.000), Dy at (0.500, 0.500, 0.500), Ho at (0.000, 0.000, 0.500), Zr at (0.500, 0.500, 0.000), Sc at (0.000, 0.500, 0.239) and Sc at (0.500, 0.000, 0.239).

The density comes out at 5.97 Mg/m³. Its calculated formation energy is 54.0 meV/atom. For the magnetization, the calculation gives 0.00 Bohr magnetons per cell. For the volume, the calculation gives 211.8 Å³/cell.

---

9.
The following is a DFT calculation (PBE) of a geometry-optimized Re2Ge2Br structure.

The space group is P4/mbm (No. 127) and the conventional cell measures 7.721, 7.721 and 2.895 Å, with angles of 90.00, 90.00 and 90.00 degrees. The inequivalent atoms are Re at (0.138, 0.362, 0.000), Ge at (0.150, 0.650, 0.500) and Br at (0.000, 0.000, 0.500).

The calculation puts the energy above the lowest structure with this stoichiometry at 29.8 kJ/mol of atoms. The formation energy from raw total energies comes out at 4.3 eV/f.u. The density comes out at 11.50 Mg/m³. For the magnetization, the calculation gives 0.01 Bohr magnetons per cell. For the volume, the calculation gives 172.6 Å³/cell.

---

10.
The following is a DFT calculation (PBE) of a geometry-optimized PmY2Cd structure.

The space group is P4/mmm (No. 123) and the conventional cell measures 3.637, 3.637 and 9.057 Å, with angles of 90.00, 90.00 and 90.00 degrees. The inequivalent atoms are Pm at (0.000, 0.000, 0.000), Y at (0.500, 0.500, 0.279) and Cd at (0.000, 0.000, 0.500).

The calculation puts the energy above the lowest structure with this stoichiometry at 0.0 kJ/mol of atoms. The density comes out at 6.03 Mg/m³. Its calculated formation energy is -164.0 meV/atom. For the magnetization, the calculation gives 0.00 Bohr magnetons per cell. For the volume, the calculation gives 119.8 Å³/cell.

---

11.
The following is a DFT calculation (PBE) of a geometry-optimized Ba2TlAs structure.

The space group is Cmm2 (No. 35) and the conventional cell measures 5.979, 5.989 and 9.179 Å, with angles of 90.00, 90.00 and 90.00 degrees. The inequivalent atoms are Ba at (0.000, 0.000, 0.000), Ba at (0.000, 0.500, 0.431), Tl at (0.000, 0.000, 0.647) and As at (0.000, 0.500, 0.800).

The calculation puts the energy above the lowest structure with this stoichiometry at 33.6 kJ/mol of atoms. The density comes out at 5.60 Mg/m³. Its calculated formation energy is -353.9 meV/atom. For the magnetization, the calculation gives 0.00 Bohr magnetons per cell. For the volume, the calculation gives 328.7 Å³/cell.

---

12.
The following is a DFT calculation (PBE) of a geometry-optimized AcGa3Pd3 structure.

The space group is P2_13 (No. 198) and the conventional cell measures 8.149, 8.149 and 8.149 Å, with angles of 90.00, 90.00 and 90.00 degrees. The inequivalent atoms are Ac at (0.058, 0.442, 0.558), Ga at (0.044, 0.314, 0.936), Pd at (0.121, 0.621, 0.879), Pd at (0.184, 0.816, 0.316) and Pd at (0.185, 0.185, 0.185).

The calculation puts the energy above the lowest structure with this stoichiometry at 0.0 kJ/mol of atoms. The density comes out at 9.27 Mg/m³. Its calculated formation energy is -642.9 meV/atom. For the magnetization, the calculation gives 0.00 Bohr magnetons per cell. For the volume, the calculation gives 541.1 Å³/cell.

---

13.
The following is a DFT calculation (PBE) of a geometry-optimized AlZnCu2Te4 structure.

The space group is I-42m (No. 121) and the conventional cell measures 6.017, 6.017 and 12.285 Å, with angles of 90.00, 90.00 and 90.00 degrees. The inequivalent atoms are Al at (0.000, 0.000, 0.000), Zn at (0.000, 0.000, 0.500), Cu at (0.000, 0.500, 0.250) and Te at (0.249, 0.249, 0.130).

The formation energy from raw total energies comes out at -2.3 eV/f.u. The density comes out at 5.45 Mg/m³. For the magnetization, the calculation gives 0.00 Bohr magnetons per cell. For the volume, the calculation gives 444.7 Å³/cell.

---

14.
The following is a DFT calculation (PBE) of a geometry-optimized Dy4AgRh structure.

The space group is C2/m (No. 12) and the conventional cell measures 6.932, 6.932 and 6.990 Å, with angles of 90.00, 90.12 and 90.00 degrees. The inequivalent atoms are Dy at (0.250, 0.250, 0.236), Ag at (0.000, 0.000, 0.500) and Rh at (0.000, 0.500, 0.000).

The calculation puts the energy above the lowest structure with this stoichiometry at 20.0 kJ/mol of atoms. The density comes out at 8.51 Mg/m³. Its calculated formation energy is -264.8 meV/atom. For the magnetization, the calculation gives 0.00 Bohr magnetons per cell. For the volume, the calculation gives 335.9 Å³/cell.

---

15.
The following is a DFT calculation (PBE) of a geometry-optimized SnAuS2N structure.

The space group is P4/mmm (No. 123) and the conventional cell measures 5.106, 5.106 and 3.968 Å, with angles of 90.00, 90.00 and 90.00 degrees. The inequivalent atoms are Sn at (0.000, 0.000, 0.000), Au at (0.500, 0.500, 0.500), S at (0.000, 0.500, 0.000) and N at (0.000, 0.000, 0.500).

The calculation puts the energy above the lowest structure with this stoichiometry at 26.6 kJ/mol of atoms. The formation energy from raw total energies comes out at 5.5 eV/f.u. The density comes out at 6.32 Mg/m³. For the magnetization, the calculation gives 0.00 Bohr magnetons per cell. For the volume, the calculation gives 103.4 Å³/cell.

---

16.
The following is a DFT calculation (PBE) of a geometry-optimized BaGeNF2 structure.

The space group is P4/mmm (No. 123) and the conventional cell measures 4.544, 4.544 and 3.921 Å, with angles of 90.00, 90.00 and 90.00 degrees. The inequivalent atoms are Ba at (0.000, 0.000, 0.000), Ge at (0.500, 0.500, 0.500), N at (0.500, 0.500, 0.000) and F at (0.000, 0.500, 0.500).

The calculation puts the energy above the lowest structure with this stoichiometry at 0.0 kJ/mol of atoms. The formation energy from raw total energies comes out at -8.4 eV/f.u. The density comes out at 5.37 Mg/m³. For the magnetization, the calculation gives 0.00 Bohr magnetons per cell. For the volume, the calculation gives 80.9 Å³/cell.

---

17.
The following is a DFT calculation (PBE) of a geometry-optimized Tl2TcPb structure.

The space group is I-42d (No. 122) and the conventional cell measures 4.319, 4.319 and 22.161 Å, with angles of 90.00, 90.00 and 90.00 degrees. The inequivalent atoms are Tl at (0.235, 0.250, 0.125), Tc at (0.000, 0.000, 0.000) and Pb at (0.000, 0.000, 0.500).

The calculation puts the energy above the lowest structure with this stoichiometry at 32.8 kJ/mol of atoms. The density comes out at 11.47 Mg/m³. Its calculated formation energy is 775.7 meV/atom. For the magnetization, the calculation gives 9.14 Bohr magnetons per cell. For the volume, the calculation gives 413.4 Å³/cell.

---

18.
The following is a DFT calculation (PBE) of a geometry-optimized Mn2Ga2Hg structure.

The space group is I4/mmm (No. 139) and the conventional cell measures 3.171, 3.171 and 16.973 Å, with angles of 90.00, 90.00 and 90.00 degrees. The inequivalent atoms are Mn at (0.000, 0.500, 0.250), Ga at (0.000, 0.000, 0.128) and Hg at (0.000, 0.000, 0.500).

The calculation puts the energy above the lowest structure with this stoichiometry at 23.7 kJ/mol of atoms. The density comes out at 8.75 Mg/m³. Its calculated formation energy is 351.6 meV/atom. For the magnetization, the calculation gives 0.01 Bohr magnetons per cell. For the volume, the calculation gives 170.7 Å³/cell.